DFT (GGA-PBE) results for a relaxed Ag2H3Pd9 crystal.

```
Ag2H3Pd9
1.0
8.330 0.158 -2.410
-4.738 5.951 -0.269
-0.318 -0.569 7.519
H Ag Pd
6 4 18
Cartesian
0.271 0.733 6.910
4.190 0.100 -1.098
6.307 1.445 1.106
1.515 1.734 2.424
2.986 4.945 -2.114
-2.782 3.359 3.661
2.100 5.481 0.707
1.174 0.127 4.156
4.737 3.621 4.451
-1.474 2.072 0.393
-2.486 4.118 2.083
5.748 1.570 2.777
-0.590 2.192 3.110
2.021 2.879 3.792
0.422 0.114 1.370
1.238 2.841 1.030
0.920 4.878 5.479
3.864 0.897 4.760
4.928 1.569 -0.038
0.120 2.195 5.864
2.332 0.813 -0.657
-0.605 4.790 0.088
3.094 0.828 2.083
2.825 5.560 3.469
0.170 4.862 2.763
3.143 3.492 -1.034
-1.679 4.133 4.867
3.870 3.515 1.737
```

Results
For the magnetization, the calculation gives 0.0 μB per formula unit. The total energy comes out at -126.26 eV for the cell shown.